No. 1
Compound: Nd2OsF
Source: Alexandria via LeMat-Bulk
Functional: PBE
Structure: optimized geometry

Cell and atoms, written as POSCAR:
```
Nd2OsF
1.0
4.0258 0.0000 0.0000
2.0129 3.4864 0.0000
2.0129 1.1621 6.6409
Nd F Os
2 1 1
Cartesian
6.0387 3.4864 5.0197
2.0129 1.1621 1.6212
4.0258 2.3243 3.3204
0.0000 0.0000 0.0000
```

Properties
Crystal system: trigonal
D(E_F), states/eV per atom: 0.699
Raw formation energy, eV/atom: -1.08

=====

No. 2
Compound: La2GePd
Source: Alexandria via LeMat-Bulk
Functional: PBE
Structure: optimized geometry

Cell and atoms, written as POSCAR:
```
La2GePd
1.0
4.4954 0.0000 0.0000
0.0000 6.1128 0.0105
0.0000 -3.0362 7.8479
Pd Ge La
2 2 4
Cartesian
1.1239 0.0395 5.5838
3.3716 3.0371 2.2746
1.1239 1.3971 1.6096
3.3716 1.6796 6.2488
1.1239 4.4894 0.6533
3.3716 0.0717 3.4505
1.1239 3.0049 4.4078
3.3716 -1.4128 7.2051
```

Properties
Crystal system: monoclinic
D(E_F), states/eV per atom: 0.624
Formation energy from the elements, eV/atom: -0.82

=====

No. 3
Compound: NaB3Pb
Source: Alexandria via LeMat-Bulk
Functional: PBE
Structure: optimized geometry

Cell and atoms, written as POSCAR:
```
NaB3Pb
1.0
4.8069 0.0000 0.0000
0.0000 4.8069 0.0000
0.0000 0.0000 4.8069
B Na Pb
3 1 1
Cartesian
0.0000 2.4035 0.0000
2.4035 0.0000 0.0000
0.0000 0.0000 2.4035
2.4035 2.4035 2.4035
0.0000 0.0000 0.0000
```

Properties
Crystal system: cubic
D(E_F), states/eV per atom: 0.889
Excess energy over the best structure of this formula in the dataset, meV per atom: 0
Formation energy from the elements, eV/atom: 2.22

=====

No. 4
Compound: ZnSi2Tc
Source: Alexandria via LeMat-Bulk
Functional: PBE
Structure: optimized geometry

Cell and atoms, written as POSCAR:
```
ZnSi2Tc
1.0
-2.6452 0.0643 0.9660
0.6265 -2.6296 -0.7921
2.6419 -1.5815 7.3394
Zn Si Tc
1 2 1
Cartesian
0.9721 -2.4688 5.5915
0.0520 -0.0311 0.1443
1.2690 -0.7597 3.5254
-0.3489 -1.6780 1.9218
```

Properties
Crystal system: orthorhombic
D(E_F), states/eV per atom: 0.475
Excess energy over the best structure of this formula in the dataset, meV per atom: 282
Raw formation energy, eV/atom: 0.17

=====

No. 5
Compound: LiFe2Si
Source: Alexandria via LeMat-Bulk
Functional: PBE
Structure: optimized geometry

Cell and atoms, written as POSCAR:
```
LiFe2Si
1.0
-2.1155 -2.6058 1.7999
-0.9182 -0.7659 -2.1881
3.1470 -3.5624 -1.4586
Si Fe Li
1 2 1
Cartesian
0.6138 -4.5491 -1.8351
1.1441 -2.1929 -1.8302
3.1173 -3.5336 -1.4517
-0.5006 -2.3850 -0.0117
```

Properties
Crystal system: monoclinic
D(E_F), states/eV per atom: 0.677
Raw formation energy, eV/atom: -0.05

=====

No. 6
Compound: TaHg2Te
Source: Alexandria via LeMat-Bulk
Functional: PBE
Structure: optimized geometry

Cell and atoms, written as POSCAR:
```
TaHg2Te
1.0
-2.0147 2.2262 -1.6653
-3.8936 -2.6349 1.1880
-0.5625 2.8644 4.5096
Hg Ta Te
2 1 1
Cartesian
0.0000 0.0000 0.0000
-2.9541 -0.2043 -0.2387
-1.2886 2.5453 1.4221
-2.2280 0.1148 2.8488
```

Properties
Crystal system: orthorhombic
D(E_F), states/eV per atom: 0.694
Raw formation energy, eV/atom: 0.54

=====

No. 7
Compound: Gd2CdCu
Source: Alexandria via LeMat-Bulk
Functional: PBE
Structure: optimized geometry

Cell and atoms, written as POSCAR:
```
Gd2CdCu
1.0
3.5489 0.0000 0.0000
0.0000 3.5489 0.0000
0.0000 0.0000 7.7160
Gd Cu Cd
2 1 1
Cartesian
0.0000 0.0000 5.9960
0.0000 0.0000 1.7201
1.7744 1.7744 0.0000
1.7744 1.7744 3.8580
```

Properties
Crystal system: tetragonal
D(E_F), states/eV per atom: 1.087
Excess energy over the best structure of this formula in the dataset, meV per atom: 0
Formation energy from the elements, eV/atom: -0.26

=====

No. 8
Compound: Ba2MnTc
Source: Alexandria via LeMat-Bulk
Functional: PBE
Structure: optimized geometry

Cell and atoms, written as POSCAR:
```
Ba2MnTc
1.0
-2.9917 2.9702 -3.4725
0.9899 -3.6321 -3.9595
-3.4090 -2.1377 1.1086
Ba Tc Mn
2 1 1
Cartesian
-1.0009 -0.3310 -3.7160
0.0000 0.0000 0.0000
-1.2095 -2.8849 -1.4255
-3.2004 0.4162 -1.1820
```

Properties
Crystal system: tetragonal
D(E_F), states/eV per atom: 1.218
Excess energy over the best structure of this formula in the dataset, meV per atom: 631
Formation energy from the elements, eV/atom: 1.03

=====

Number 1: spin magnetization 0.0 μB/f.u.. Number 2: spin magnetization 0.0 μB/f.u.. Number 3: spin magnetization 0.0 μB/f.u.. Number 4: spin magnetization 0.0 μB/f.u.. Number 5: spin magnetization 3.8 μB/f.u.. Number 6: spin magnetization 0.0 μB/f.u.. Number 7: spin magnetization 14.7 μB/f.u.. Number 8: spin magnetization 6.4 μB/f.u..